# Sm5ErTm3, relaxed, DFT GGA-PBE
# - DFT total energy: -159.681 eV/cell
# - Energy above the most stable polymorph in this dataset: 0.000 eV/atom
# - Energy relative to the elements: 184 meV/atom
data_Sm5ErTm3
_chemical_formula_sum 'Sm20 Er4 Tm12'
_space_group_name_H-M_alt 'C 1 2/c 1'
_space_group_IT_number 15
_space_group_name_Hall '-C 2yc'
_cell_length_a 16.327
_cell_length_b 6.687
_cell_length_c 11.487
_cell_angle_alpha 90.00
_cell_angle_beta 110.28
_cell_angle_gamma 90.00
loop_
_atom_site_label
_atom_site_fract_x
_atom_site_fract_y
_atom_site_fract_z
_atom_site_occupancy
Sm1 0.000 0.189 0.250 1
Sm2 0.111 0.003 0.552 1
Sm3 0.171 0.415 0.344 1
Er1 0.000 0.261 0.750 1
Tm1 0.000 0.500 0.000 1
Tm2 0.238 0.095 0.873 1


# Sm7Er3Tm2, relaxed, DFT GGA-PBE
# - DFT total energy: -54.557 eV/cell
# - Energy above the most stable polymorph in this dataset: 0.016 eV/atom
# - Energy relative to the elements: 92 meV/atom
data_Sm7Er3Tm2
_chemical_formula_sum 'Sm7 Er3 Tm2'
_space_group_name_H-M_alt 'P 1 2/m 1'
_space_group_IT_number 10
_space_group_name_Hall '-P 2y'
_cell_length_a 5.806
_cell_length_b 3.589
_cell_length_c 18.814
_cell_angle_alpha 90.00
_cell_angle_beta 93.83
_cell_angle_gamma 90.00
loop_
_atom_site_label
_atom_site_fract_x
_atom_site_fract_y
_atom_site_fract_z
_atom_site_occupancy
Sm1 0.000 0.000 0.000 1
Sm2 0.177 0.500 0.183 1
Sm3 0.258 0.500 0.535 1
Sm4 0.325 0.000 0.855 1
Er1 0.215 0.000 0.368 1
Er2 0.500 0.500 0.000 1
Tm1 0.296 0.500 0.703 1